# NiSn2O

A geometry-optimized NiSn2O structure (PBE with a Hubbard U, Alexandria).

Properties
The calculation puts the total energy at -3.93 eV per atom. The density of states at the Fermi level is 1.3 states/eV/cell.

a = 5.684 Å, b = 5.684 Å, c = 6.398 Å
α = 63.63°, β = 63.63°, γ = 90.00°
Fractional positions:
Sn  0.148  0.625  0.250
Sn  0.602  0.125  0.250
O  0.250  0.750  0.500
Sn  0.375  0.398  0.750
Sn  0.875  0.852  0.750
O  0.500  0.500  0.000
Ni  0.000  0.000  0.000
Ni  0.750  0.250  0.500